# 1
# TlSb8 (PBE, relaxed)
data_TlSb8
_chemical_formula_sum 'Tl2 Sb16'
_space_group_name_H-M_alt 'I 4/m m m'
_space_group_IT_number 139
_space_group_name_Hall '-I 4 2'
_cell_length_a 9.7444
_cell_length_b 9.7444
_cell_length_c 5.4395
_cell_angle_alpha 90.00
_cell_angle_beta 90.00
_cell_angle_gamma 90.00
loop_
_atom_site_label
_atom_site_fract_x
_atom_site_fract_y
_atom_site_fract_z
Tl1 0.0000 0.0000 0.0000
Sb1 0.0000 0.3487 0.0000
Sb2 0.1591 0.1591 0.5000
# total moment = 0.0000 μB per atom
# raw total energy = -3.669 eV per atom
# crystal system = tetragonal

# 2
# TlSb3 (PBE, relaxed)
data_TlSb3
_chemical_formula_sum 'Tl1 Sb3'
_space_group_name_H-M_alt 'P m m 2'
_space_group_IT_number 25
_cell_length_a 3.9708
_cell_length_b 5.4407
_cell_length_c 5.8582
_cell_angle_alpha 90.00
_cell_angle_beta 90.00
_cell_angle_gamma 90.00
loop_
_space_group_symop_operation_xyz
'x,y,z'
'-x,-y,z'
'-x,y,z'
'x,-y,z'
loop_
_atom_site_label
_atom_site_fract_x
_atom_site_fract_y
_atom_site_fract_z
Tl1 0.0000 0.0000 0.0000
Sb1 0.0000 0.5000 0.6201
Sb2 0.5000 0.0000 0.5254
Sb3 0.5000 0.5000 0.2491
# total moment = 0.0000 μB per atom
# raw total energy = -3.547 eV per atom
# crystal system = orthorhombic

# 3
# TlSb3 (PBE, relaxed)
data_TlSb3
_chemical_formula_sum 'Tl1 Sb3'
_space_group_name_H-M_alt 'P -6 m 2'
_space_group_IT_number 187
_space_group_name_Hall 'P -6 2'
_cell_length_a 4.0572
_cell_length_b 4.0572
_cell_length_c 8.6747
_cell_angle_alpha 90.00
_cell_angle_beta 90.00
_cell_angle_gamma 120.00
loop_
_atom_site_label
_atom_site_fract_x
_atom_site_fract_y
_atom_site_fract_z
Tl1 0.0000 0.0000 0.0000
Sb1 0.0000 0.0000 0.5000
Sb2 0.3333 0.6667 0.2681
# total moment = 0.0000 μB per atom
# raw total energy = -3.516 eV per atom
# crystal system = hexagonal

# 4
# TlSb (PBE, relaxed)
data_TlSb
_chemical_formula_sum 'Tl2 Sb2'
_space_group_name_H-M_alt 'P 4/n m m'
_space_group_IT_number 129
_cell_length_a 3.3008
_cell_length_b 3.3008
_cell_length_c 10.9324
_cell_angle_alpha 90.00
_cell_angle_beta 90.00
_cell_angle_gamma 90.00
loop_
_space_group_symop_operation_xyz
'x,y,z'
'-x,-y,-z'
'-y+1/2,x,z'
'y+1/2,-x,-z'
'-x+1/2,-y+1/2,z'
'x+1/2,y+1/2,-z'
'y,-x+1/2,z'
'-y,x+1/2,-z'
'x+1/2,-y,-z'
'-x+1/2,y,z'
'-y,-x,-z'
'y,x,z'
'-x,y+1/2,-z'
'x,-y+1/2,z'
'y+1/2,x+1/2,-z'
'-y+1/2,-x+1/2,z'
loop_
_atom_site_label
_atom_site_fract_x
_atom_site_fract_y
_atom_site_fract_z
Tl1 0.2500 0.2500 0.1383
Sb1 0.2500 0.2500 0.6262
# total moment = 0.0000 μB per atom
# raw total energy = -3.137 eV per atom
# crystal system = tetragonal

# 5
# Tl3Sb (PBE, relaxed)
data_Tl3Sb
_chemical_formula_sum 'Tl6 Sb2'
_space_group_name_H-M_alt 'P m m n'
_space_group_IT_number 59
_cell_length_a 4.6284
_cell_length_b 9.9108
_cell_length_c 5.6357
_cell_angle_alpha 90.00
_cell_angle_beta 90.00
_cell_angle_gamma 90.00
loop_
_space_group_symop_operation_xyz
'x,y,z'
'-x,-y,-z'
'-x+1/2,-y+1/2,z'
'x+1/2,y+1/2,-z'
'x+1/2,-y,-z'
'-x+1/2,y,z'
'-x,y+1/2,-z'
'x,-y+1/2,z'
loop_
_atom_site_label
_atom_site_fract_x
_atom_site_fract_y
_atom_site_fract_z
Tl1 0.2500 0.0278 0.2393
Tl2 0.2500 0.2500 0.7827
Sb1 0.2500 0.7500 0.6221
# total moment = 0.0000 μB per atom
# raw total energy = -2.803 eV per atom
# crystal system = orthorhombic

# 6
# TlSb (PBE, relaxed)
data_TlSb
_chemical_formula_sum 'Tl4 Sb4'
_space_group_name_H-M_alt 'I 41/a m d'
_space_group_IT_number 141
_cell_length_a 5.2134
_cell_length_b 5.2134
_cell_length_c 8.7271
_cell_angle_alpha 90.00
_cell_angle_beta 90.00
_cell_angle_gamma 90.00
loop_
_space_group_symop_operation_xyz
'x,y,z'
'-x,-y,-z'
'-y+1/4,x+3/4,z+1/4'
'y+1/4,-x+3/4,-z+1/4'
'-x+1/2,-y,z+1/2'
'x+1/2,y,-z+1/2'
'y+1/4,-x+1/4,z+3/4'
'-y+1/4,x+1/4,-z+3/4'
'x,-y,-z'
'-x,y,z'
'-y+1/4,-x+1/4,-z+3/4'
'y+1/4,x+1/4,z+3/4'
'-x+1/2,y,-z+1/2'
'x+1/2,-y,z+1/2'
'y+1/4,x+3/4,-z+1/4'
'-y+1/4,-x+3/4,z+1/4'
'x+1/2,y+1/2,z+1/2'
'-x+1/2,-y+1/2,-z+1/2'
'-y+3/4,x+1/4,z+3/4'
'y+3/4,-x+1/4,-z+3/4'
'-x,-y+1/2,z'
'x,y+1/2,-z'
'y+3/4,-x+3/4,z+1/4'
'-y+3/4,x+3/4,-z+1/4'
'x+1/2,-y+1/2,-z+1/2'
'-x+1/2,y+1/2,z+1/2'
'-y+3/4,-x+3/4,-z+1/4'
'y+3/4,x+3/4,z+1/4'
'-x,y+1/2,-z'
'x,-y+1/2,z'
'y+3/4,x+1/4,-z+3/4'
'-y+3/4,-x+1/4,z+3/4'
loop_
_atom_site_label
_atom_site_fract_x
_atom_site_fract_y
_atom_site_fract_z
Tl1 0.0000 0.2500 0.3750
Sb1 0.0000 0.2500 0.8750
# total moment = 0.0000 μB per atom
# raw total energy = -3.142 eV per atom
# crystal system = tetragonal

Number 1: uncorrected formation energy 259 meV per atom. Number 2: uncorrected formation energy 136 meV per atom. Number 3: uncorrected formation energy 167 meV per atom. Number 4: uncorrected formation energy 108 meV per atom. Number 5: uncorrected formation energy 2 meV per atom. Number 6: uncorrected formation energy 103 meV per atom.